DFT (PBE) results for crystalline LaPm8Th4 at its relaxed geometry.

Unit cell a=7.921 b=7.921 c=7.921 alpha=91.46 beta=91.46 gamma=91.46
Atoms (fractional coordinates):
La: 0.000 0.000 0.000
Pm: 0.249 0.733 0.733
Pm: 0.262 0.262 0.262
Pm: 0.267 0.267 0.751
Pm: 0.267 0.751 0.267
Pm: 0.733 0.249 0.733
Pm: 0.733 0.733 0.249
Pm: 0.738 0.738 0.738
Pm: 0.751 0.267 0.267
Th: 0.000 0.000 0.500
Th: 0.000 0.500 0.000
Th: 0.500 0.000 0.000
Th: 0.500 0.500 0.500

## Properties
- D(E_F): 1.64 states/eV per atom
- V: 496.4 Å³ per cell
- VASP energy: -5.030 eV/atom